Version 1
The following is a DFT calculation (GGA-PBE) of Ca3BMo after structural relaxation.

Total magnetization, μB/f.u.: 3.97
Volume, Å³/atom: 28.7

Lattice parameters (Å, degrees): 5.234 5.234 5.234 90.00 90.00 90.00
Sites, in units of the cell vectors:
Ca 0.000 0.000 0.500
Ca 0.000 0.500 0.000
Ca 0.500 0.000 0.000
B 0.000 0.000 0.000
Mo 0.500 0.500 0.500

Version 2
The following is a DFT calculation (GGA-PBE) of Ca3BMo after structural relaxation.

Total magnetization, μB/f.u.: 0.00
Volume, Å³/atom: 30.7

Lattice parameters (Å, degrees): 5.353 5.353 5.353 90.00 90.00 90.00
Sites, in units of the cell vectors:
Ca 0.000 0.000 0.500
Ca 0.000 0.500 0.000
Ca 0.500 0.000 0.000
B 0.500 0.500 0.500
Mo 0.000 0.000 0.000

Stability comparison, relative energies in eV/atom: version 1 0.000; version 2 0.703

Version 1
The following is a DFT calculation (GGA-PBE) of Ca2BN after structural relaxation.

Total magnetization, μB/f.u.: 0.47
Volume, Å³/atom: 15.9

Lattice parameters (Å, degrees): 4.481 4.481 4.481 60.00 60.00 60.00
Sites, in units of the cell vectors:
Ca 0.250 0.250 0.250
Ca 0.750 0.750 0.750
B 0.000 0.000 0.000
N 0.500 0.500 0.500

Version 2
The following is a DFT calculation (GGA-PBE) of Ca2BN after structural relaxation.

Total magnetization, μB/f.u.: 0.00
Volume, Å³/atom: 19.5

Lattice parameters (Å, degrees): 5.879 5.879 5.879 110.35 110.35 107.74
Sites, in units of the cell vectors:
Ca 0.068 0.125 0.443
Ca 0.375 0.932 0.057
Ca 0.682 0.625 0.557
Ca 0.875 0.318 0.943
B 0.250 0.750 0.500
B 0.500 0.500 0.000
N 0.000 0.000 0.000
N 0.750 0.250 0.500

Stability comparison, relative energies in eV/atom: version 1 0.099; version 2 0.000

Version 1
The following is a DFT calculation (GGA-PBE) of CaBSN2 after structural relaxation.

Total magnetization, μB/f.u.: 0.64
Volume, Å³/atom: 12.2

Lattice parameters (Å, degrees): 3.522 3.522 4.936 90.00 90.00 90.00
Sites, in units of the cell vectors:
Ca 0.000 0.000 0.000
B 0.500 0.500 0.500
S 0.500 0.500 0.000
N 0.000 0.500 0.500
N 0.500 0.000 0.500

Version 2
The following is a DFT calculation (GGA-PBE) of CaBSN2 after structural relaxation.

Total magnetization, μB/f.u.: 5.00
Volume, Å³/atom: 23.3

Lattice parameters (Å, degrees): 4.586 4.586 5.536 90.00 90.00 90.00
Sites, in units of the cell vectors:
Ca 0.000 0.000 0.000
B 0.500 0.500 0.500
S 0.000 0.000 0.500
N 0.000 0.500 0.000
N 0.500 0.000 0.000

Stability comparison, relative energies in eV/atom: version 1 0.000; version 2 1.584

Version 1
The following is a DFT calculation (GGA-PBE) of CaBSeN2 after structural relaxation.

Total magnetization, μB/f.u.: 4.41
Volume, Å³/atom: 24.1

Lattice parameters (Å, degrees): 4.523 4.523 5.882 90.00 90.00 90.00
Sites, in units of the cell vectors:
Ca 0.000 0.000 0.000
B 0.500 0.500 0.500
Se 0.000 0.000 0.500
N 0.000 0.500 0.000
N 0.500 0.000 0.000

Version 2
The following is a DFT calculation (GGA-PBE) of CaBSeN2 after structural relaxation.

Total magnetization, μB/f.u.: 1.11
Volume, Å³/atom: 13.1

Lattice parameters (Å, degrees): 3.676 3.676 4.835 90.00 90.00 90.00
Sites, in units of the cell vectors:
Ca 0.000 0.000 0.000
B 0.500 0.500 0.500
Se 0.500 0.500 0.000
N 0.000 0.500 0.500
N 0.500 0.000 0.500

Stability comparison, relative energies in eV/atom: version 1 1.301; version 2 0.000

Version 1
The following is a DFT calculation (GGA-PBE) of Na2Ca2B after structural relaxation.

Total magnetization, μB/f.u.: 0.00
Volume, Å³/atom: 27.6

Lattice parameters (Å, degrees): 10.188 10.188 10.188 158.83 158.83 30.12
Sites, in units of the cell vectors:
Na 0.250 0.750 0.500
Na 0.750 0.250 0.500
Ca 0.077 0.077 0.000
Ca 0.923 0.923 0.000
B 0.500 0.500 0.000

Version 2
The following is a DFT calculation (GGA-PBE) of Na2Ca2B after structural relaxation.

Total magnetization, μB/f.u.: 1.00
Volume, Å³/atom: 33.5

Lattice parameters (Å, degrees): 7.227 7.227 6.411 90.00 90.00 90.00
Sites, in units of the cell vectors:
Na 0.169 0.331 0.000
Na 0.331 0.831 0.000
Na 0.669 0.169 0.000
Na 0.831 0.669 0.000
Ca 0.184 0.684 0.500
Ca 0.316 0.184 0.500
Ca 0.684 0.816 0.500
Ca 0.816 0.316 0.500
B 0.000 0.000 0.500
B 0.500 0.500 0.500

Stability comparison, relative energies in eV/atom: version 1 0.069; version 2 0.000

Version 1
The following is a DFT calculation (GGA-PBE) of NaCaB after structural relaxation.

Total magnetization, μB/f.u.: 0.00
Volume, Å³/atom: 25.8

Lattice parameters (Å, degrees): 3.215 4.028 13.056 96.09 93.74 112.09
Sites, in units of the cell vectors:
Na 0.000 0.000 0.000
Na 0.440 0.363 0.760
Ca 0.758 0.589 0.247
Ca 0.897 0.720 0.513
B 0.098 0.198 0.380
B 0.557 0.111 0.380

Version 2
The following is a DFT calculation (GGA-PBE) of NaCaB after structural relaxation.

Total magnetization, μB/f.u.: 0.00
Volume, Å³/atom: 25.0

Lattice parameters (Å, degrees): 3.240 5.262 9.197 90.98 91.12 107.21
Sites, in units of the cell vectors:
Na 0.000 0.000 0.000
Na 0.258 0.511 0.790
Ca 0.490 0.003 0.522
Ca 0.726 0.489 0.247
B 0.228 0.476 0.500
B 0.759 0.537 0.526

Stability comparison, relative energies in eV/atom: version 1 0.000; version 2 0.075

Version 1
The following is a DFT calculation (GGA-PBE) of NaCaB after structural relaxation.

Total magnetization, μB/f.u.: 0.00
Volume, Å³/atom: 24.3

Lattice parameters (Å, degrees): 6.901 6.901 6.901 151.87 151.87 40.20
Sites, in units of the cell vectors:
Na 0.000 0.000 0.000
Ca 0.762 0.762 0.000
B 0.359 0.359 0.000

Version 2
The following is a DFT calculation (GGA-PBE) of NaCaB after structural relaxation.

Total magnetization, μB/f.u.: 0.00
Volume, Å³/atom: 27.5

Lattice parameters (Å, degrees): 4.813 4.813 9.237 97.47 97.47 51.11
Sites, in units of the cell vectors:
Na 0.128 0.128 0.381
Na 0.872 0.872 0.619
Ca 0.381 0.381 0.129
Ca 0.619 0.619 0.871
B 0.061 0.061 0.070
B 0.939 0.939 0.930

Version 3
The following is a DFT calculation (GGA-PBE) of NaCaB after structural relaxation.

Total magnetization, μB/f.u.: 0.00
Volume, Å³/atom: 24.5

Lattice parameters (Å, degrees): 12.388 12.388 3.232 90.00 90.00 162.73
Sites, in units of the cell vectors:
Na 0.191 0.809 0.750
Na 0.809 0.191 0.250
Ca 0.431 0.569 0.750
Ca 0.569 0.431 0.250
B 0.008 0.992 0.750
B 0.992 0.008 0.250

Stability comparison, relative energies in eV/atom: version 1 0.763; version 2 0.258; version 3 0.000

Version 1
The following is a DFT calculation (GGA-PBE) of NaCa3B after structural relaxation.

Total magnetization, μB/f.u.: 0.00
Volume, Å³/atom: 32.4

Lattice parameters (Å, degrees): 5.450 5.450 5.450 90.00 90.00 90.00
Sites, in units of the cell vectors:
Na 0.000 0.000 0.000
Ca 0.000 0.500 0.500
Ca 0.500 0.000 0.500
Ca 0.500 0.500 0.000
B 0.500 0.500 0.500

Version 2
The following is a DFT calculation (GGA-PBE) of NaCa3B after structural relaxation.

Total magnetization, μB/f.u.: 0.69
Volume, Å³/atom: 39.7

Lattice parameters (Å, degrees): 5.833 5.833 5.833 90.00 90.00 90.00
Sites, in units of the cell vectors:
Na 0.000 0.000 0.000
Ca 0.000 0.000 0.500
Ca 0.000 0.500 0.000
Ca 0.500 0.000 0.000
B 0.500 0.500 0.500

Stability comparison, relative energies in eV/atom: version 1 0.000; version 2 1.183